1.
Below is a geometry-optimized K4Zr5O12 structure, with properties calculated at the PBEsol level. Values from VASP.

Computed properties:
Space-group type ... No. 164
DOS(E_F) ... 0.00 states/eV/cell
Raw formation energy ... -2.963 eV per atom

```
&SYSTEM
  ibrav = 0, nat = 21, ntyp = 3
/
ATOMIC_SPECIES
O 16.00 O.upf
K 39.10 K.upf
Zr 91.22 Zr.upf
CELL_PARAMETERS angstrom
-5.674 0.686 -1.035
1.764 -2.760 4.796
0.156 9.066 5.161
ATOMIC_POSITIONS angstrom
O -2.839 1.407 0.199
O -2.009 0.108 2.456
O -2.233 3.791 6.521
O -1.521 3.201 2.402
O 0.635 3.444 7.044
O -0.915 5.586 8.724
O -4.389 3.548 1.879
O -3.497 2.152 4.303
O -0.257 4.840 4.619
O 0.925 6.562 6.954
O -4.679 0.431 1.969
O -1.745 6.885 6.467
K -0.655 1.913 4.859
K 0.128 7.442 4.236
K -3.099 5.079 4.063
K 0.028 1.625 0.925
Zr -3.043 8.388 5.947
Zr -0.603 4.894 6.556
Zr -0.711 -1.395 2.976
Zr -3.151 2.098 2.367
Zr 0.078 4.533 2.581
```


2.
Below is a geometry-optimized KZrO3 structure, with properties calculated at the PBEsol level. Values from VASP.

Computed properties:
Space-group type ... No. 221
DOS(E_F) ... 3.68 states/eV/cell
Raw formation energy ... -2.443 eV per atom

```
&SYSTEM
  ibrav = 0, nat = 5, ntyp = 3
/
ATOMIC_SPECIES
K 39.10 K.upf
Zr 91.22 Zr.upf
O 16.00 O.upf
CELL_PARAMETERS angstrom
4.173 0.000 0.000
0.000 4.173 0.000
0.000 0.000 4.173
ATOMIC_POSITIONS angstrom
K 2.087 2.087 2.087
Zr 0.000 0.000 0.000
O 0.000 2.087 0.000
O 0.000 0.000 2.087
O 2.087 0.000 0.000
```


3.
Below is a geometry-optimized K4ZrO4 structure, with properties calculated at the PBEsol level. Values from VASP.

Computed properties:
Space-group type ... No. 2
DOS(E_F) ... 0.00 states/eV/cell
Raw formation energy ... -2.078 eV per atom

```
&SYSTEM
  ibrav = 0, nat = 18, ntyp = 3
/
ATOMIC_SPECIES
O 16.00 O.upf
K 39.10 K.upf
Zr 91.22 Zr.upf
CELL_PARAMETERS angstrom
-5.565 -1.591 -3.012
-2.456 -5.643 2.105
-6.321 1.905 7.223
ATOMIC_POSITIONS angstrom
O -12.650 -4.364 5.903
O -1.691 -0.965 0.412
O -11.071 -4.328 3.107
O -7.446 -0.521 3.337
O -4.685 -2.338 0.728
O -3.271 -1.001 3.208
O -9.656 -2.991 5.588
O -6.895 -4.809 2.979
K -7.475 -4.590 5.725
K -6.866 -0.740 0.591
K -8.796 -2.820 2.866
K -5.545 -2.510 3.449
K -6.648 -4.220 0.333
K -3.318 -4.631 1.015
K -7.693 -1.109 5.983
K -11.024 -0.698 5.300
Zr -10.864 -4.469 5.067
Zr -3.477 -0.860 1.248
```


4.
Below is a geometry-optimized KOs3 structure, with properties calculated at the PBEsol level. Values from VASP.

Computed properties:
Space-group type ... No. 123
DOS(E_F) ... 4.70 states/eV/cell
E_form ... 0.908 eV per atom
Energy above the lowest structure with this stoichiometry ... 0.125 eV/atom

```
&SYSTEM
  ibrav = 0, nat = 4, ntyp = 2
/
ATOMIC_SPECIES
K 39.10 K.upf
Os 190.23 Os.upf
CELL_PARAMETERS angstrom
-1.681 2.113 0.373
-0.774 -0.156 -2.609
-6.899 -5.913 2.401
ATOMIC_POSITIONS angstrom
K 0.000 0.000 0.000
Os -3.334 -0.827 -0.385
Os -3.450 -2.957 1.200
Os -6.021 -3.130 0.550
```


5.
Below is a geometry-optimized KOs3 structure, with properties calculated at the PBEsol level. Values from VASP.

Computed properties:
Space-group type ... No. 65
DOS(E_F) ... 5.88 states/eV/cell
E_form ... 1.618 eV per atom
Energy above the lowest structure with this stoichiometry ... 0.835 eV/atom

```
&SYSTEM
  ibrav = 0, nat = 4, ntyp = 2
/
ATOMIC_SPECIES
Os 190.23 Os.upf
K 39.10 K.upf
CELL_PARAMETERS angstrom
2.582 0.000 0.000
0.000 5.143 0.030
0.000 -1.832 4.805
ATOMIC_POSITIONS angstrom
Os 1.291 -0.916 2.403
Os 1.291 2.571 0.015
Os 0.000 1.655 2.418
K 0.000 0.000 0.000
```


6.
Below is a geometry-optimized KOs3 structure, with properties calculated at the PBEsol level. Values from VASP.

Computed properties:
Space-group type ... No. 166
DOS(E_F) ... 5.87 states/eV/cell
E_form ... 1.665 eV per atom
Energy above the lowest structure with this stoichiometry ... 0.882 eV/atom

```
&SYSTEM
  ibrav = 0, nat = 4, ntyp = 2
/
ATOMIC_SPECIES
Os 190.23 Os.upf
K 39.10 K.upf
CELL_PARAMETERS angstrom
-1.470 0.099 -2.087
1.363 -5.274 -0.168
-3.684 1.539 3.710
ATOMIC_POSITIONS angstrom
Os -0.054 -2.587 -1.128
Os -2.577 0.819 0.811
Os -1.160 -1.867 1.771
K 0.000 0.000 0.000
```


7.
Below is a geometry-optimized KOs3 structure, with properties calculated at the PBEsol level. Values from VASP.

Computed properties:
Space-group type ... No. 166
DOS(E_F) ... 3.08 states/eV/cell
E_form ... 0.783 eV per atom
Energy above the lowest structure with this stoichiometry ... 0.000 eV/atom

```
&SYSTEM
  ibrav = 0, nat = 4, ntyp = 2
/
ATOMIC_SPECIES
Os 190.23 Os.upf
K 39.10 K.upf
CELL_PARAMETERS angstrom
2.734 0.000 0.000
1.367 2.368 0.000
1.367 0.789 10.176
ATOMIC_POSITIONS angstrom
Os 4.101 2.368 7.225
Os 1.367 0.789 2.951
Os 2.734 1.579 5.088
K 0.000 0.000 0.000
```


8.
Below is a geometry-optimized K2POs structure, with properties calculated at the PBEsol level. Values from VASP.

Computed properties:
Space-group type ... No. 44
DOS(E_F) ... 1.76 states/eV/cell
E_form ... 0.262 eV per atom
Energy above the lowest structure with this stoichiometry ... 0.000 eV/atom

```
&SYSTEM
  ibrav = 0, nat = 4, ntyp = 3
/
ATOMIC_SPECIES
K 39.10 K.upf
P 30.97 P.upf
Os 190.23 Os.upf
CELL_PARAMETERS angstrom
-3.676 -0.312 0.490
-0.511 -2.090 -5.159
2.754 -3.620 4.222
ATOMIC_POSITIONS angstrom
K -1.484 -5.654 -0.591
K -1.479 -2.776 1.271
P -0.008 -2.847 -1.874
Os -1.989 -1.965 -2.035
```


9.
Below is a geometry-optimized KPOs2 structure, with properties calculated at the PBEsol level. Values from VASP.

Computed properties:
Space-group type ... No. 225
DOS(E_F) ... 4.72 states/eV/cell
E_form ... 1.591 eV per atom
Energy above the lowest structure with this stoichiometry ... 0.569 eV/atom

```
&SYSTEM
  ibrav = 0, nat = 4, ntyp = 3
/
ATOMIC_SPECIES
K 39.10 K.upf
P 30.97 P.upf
Os 190.23 Os.upf
CELL_PARAMETERS angstrom
-0.542 4.321 -0.201
-2.893 1.958 2.609
1.378 2.525 3.276
ATOMIC_POSITIONS angstrom
K 0.000 0.000 0.000
P -1.029 4.402 2.842
Os -0.514 2.201 1.421
Os -1.543 6.603 4.263
```


10.
Below is a geometry-optimized KPOs2 structure, with properties calculated at the PBEsol level. Values from VASP.

Computed properties:
Space-group type ... No. 139
DOS(E_F) ... 4.43 states/eV/cell
E_form ... 1.605 eV per atom
Energy above the lowest structure with this stoichiometry ... 0.584 eV/atom

```
&SYSTEM
  ibrav = 0, nat = 4, ntyp = 3
/
ATOMIC_SPECIES
K 39.10 K.upf
Os 190.23 Os.upf
P 30.97 P.upf
CELL_PARAMETERS angstrom
-0.717 -3.041 -2.197
-0.028 -2.232 3.099
-4.066 3.343 0.018
ATOMIC_POSITIONS angstrom
K 0.000 0.000 0.000
Os -2.233 -0.763 1.784
Os -2.577 -1.167 -0.864
P -0.372 -2.637 0.451
```


11.
Below is a geometry-optimized K2POs structure, with properties calculated at the PBEsol level. Values from VASP.

Computed properties:
Space-group type ... No. 216
DOS(E_F) ... 3.41 states/eV/cell
E_form ... 1.163 eV per atom
Energy above the lowest structure with this stoichiometry ... 0.901 eV/atom

```
&SYSTEM
  ibrav = 0, nat = 4, ntyp = 3
/
ATOMIC_SPECIES
K 39.10 K.upf
P 30.97 P.upf
Os 190.23 Os.upf
CELL_PARAMETERS angstrom
4.824 0.000 0.000
2.412 4.178 0.000
2.412 1.393 3.939
ATOMIC_POSITIONS angstrom
K 0.000 0.000 0.000
K 2.412 1.393 0.985
P 7.236 4.178 2.954
Os 4.824 2.785 1.970
```


12.
Below is a geometry-optimized KPOs2 structure, with properties calculated at the PBEsol level. Values from VASP.

Computed properties:
Space-group type ... No. 44
DOS(E_F) ... 4.13 states/eV/cell
E_form ... 1.021 eV per atom
Energy above the lowest structure with this stoichiometry ... 0.000 eV/atom

```
&SYSTEM
  ibrav = 0, nat = 4, ntyp = 3
/
ATOMIC_SPECIES
Os 190.23 Os.upf
P 30.97 P.upf
K 39.10 K.upf
CELL_PARAMETERS angstrom
2.672 0.000 0.000
0.000 5.519 0.000
-1.336 -2.759 5.014
ATOMIC_POSITIONS angstrom
Os 0.000 0.000 0.490
Os 1.336 0.000 2.638
P 0.000 0.000 4.578
K 0.000 2.759 2.322
```


| no. | E (eV/cell) |
| --- | --- |
| 1 | -175.195 |
| 2 | -38.186 |
| 3 | -106.635 |
| 4 | -34.148 |
| 5 | -31.308 |
| 6 | -31.120 |
| 7 | -34.649 |
| 8 | -19.227 |
| 9 | -24.994 |
| 10 | -24.937 |
| 11 | -15.622 |
| 12 | -27.272 |